[1]
CoCu3HgSe4 PBE optimized geometry; uncorrected formation energy = -0.9 eV per formula unit; V = 22.31 Å³ per atom; raw total energy = -0.28183 Ry per atom; magnetization = 0.57 Bohr magnetons per cell
1.0
5.856 0.000 0.000
0.000 5.856 0.000
0.000 0.000 5.856
Hg Se Co Cu
1 4 1 3
Direct
0.500 0.500 0.500
0.774 0.226 0.774
0.226 0.226 0.226
0.774 0.774 0.226
0.226 0.774 0.774
0.000 0.000 0.000
0.500 0.000 0.000
0.000 0.500 0.000
0.000 0.000 0.500

[2]
CoCuHgSe2 PBE optimized geometry; uncorrected formation energy = 2.0 eV per formula unit; V = 20.35 Å³ per atom; raw total energy = -0.24270 Ry per atom; magnetization = 1.10 Bohr magnetons per cell
1.0
4.602 0.000 0.000
0.000 4.804 0.000
0.000 0.000 4.602
Se Co Cu Hg
2 1 1 1
Direct
0.500 0.000 0.000
0.000 0.000 0.500
0.000 0.000 0.000
0.000 0.500 0.000
0.500 0.500 0.500

[3]
SrCo2CuHg PBE optimized geometry; V = 28.23 Å³ per atom; raw total energy = -0.20959 Ry per atom; magnetization = 3.70 Bohr magnetons per cell; formation enthalpy at 0 K = 1207 meV per atom
1.0
-1.346 4.693 -0.068
-0.124 -0.121 -5.920
-4.692 -1.344 0.126
Sr Hg Co Cu
1 1 2 1
Direct
0.000 0.500 0.000
0.000 0.000 0.000
0.500 0.000 0.000
0.000 0.000 0.500
0.500 0.500 0.500

[4]
Ho2Co5Cu5 PBE optimized geometry; V = 14.16 Å³ per atom; raw total energy = -0.40766 Ry per atom; magnetization = 6.03 Bohr magnetons per cell; formation enthalpy at 0 K = -116 meV per atom
1.0
-3.236 -1.148 2.203
1.919 -4.397 0.529
3.979 2.602 7.200
Cu Co Ho
5 5 2
Direct
0.000 0.000 0.172
0.500 0.000 0.000
0.000 0.500 0.669
0.000 0.000 0.828
0.000 0.500 0.331
0.500 0.247 0.742
0.500 0.500 0.500
0.500 0.753 0.742
0.500 0.247 0.258
0.500 0.753 0.258
0.000 0.500 0.000
0.000 0.000 0.500